Record 1
Here is a geometry-optimized Ca2TaMo structure from Alexandria via LeMat-Bulk. Energies are from PBE.

Cell: 5.692 10.669 2.920 Å, 90.00 99.52 90.00°
Space group C2/m (No. 12)
Inequivalent atoms, fractional coordinates:
Ca 0.250 0.250 0.000 (multiplicity 4)
Ta 0.000 0.000 0.500 (multiplicity 2)
Mo 0.000 0.500 0.500 (multiplicity 2)

Calculated values
The calculation puts the total moment at 0.00 μB per cell. The value obtained for the density of states at the Fermi level is 1.071 states/eV per atom. Its energy of formation is 0.818 eV/atom. The value obtained for the polymorph energy (0 for the lowest one) is 501 meV per atom.



Record 2
Here is a geometry-optimized Ca2TaMo structure from Alexandria via LeMat-Bulk. Energies are from PBE.

Cell: 7.187 7.187 7.187 Å, 90.00 90.00 90.00°
Space group Fm-3m (No. 225)
Inequivalent atoms, fractional coordinates:
Ca 0.250 0.250 0.250 (multiplicity 8)
Ta 0.000 0.000 0.000 (multiplicity 4)
Mo 0.000 0.000 0.500 (multiplicity 4)

Calculated values
The calculation puts the total moment at 0.00 μB per cell. The value obtained for the density of states at the Fermi level is 1.683 states/eV per atom. Its energy of formation is 1.366 eV/atom. The value obtained for the polymorph energy (0 for the lowest one) is 1050 meV per atom.



Record 3
Here is a geometry-optimized CaTaMo structure from Alexandria via LeMat-Bulk. Energies are from PBE.

Cell: 3.355 5.103 14.773 Å, 90.00 90.00 90.00°
Space group Fmm2 (No. 42)
Inequivalent atoms, fractional coordinates:
Ca 0.000 0.000 0.000 (multiplicity 4)
Ta 0.000 0.000 0.693 (multiplicity 4)
Mo 0.000 0.000 0.323 (multiplicity 4)

Calculated values
The calculation puts the total moment at 0.00 μB per cell. The value obtained for the density of states at the Fermi level is 0.912 states/eV per atom. Its energy of formation is 0.514 eV/atom. The value obtained for the polymorph energy (0 for the lowest one) is 173 meV per atom.



Record 4
Here is a geometry-optimized Ca2TaMo structure from Alexandria via LeMat-Bulk. Energies are from PBE.

Cell: 2.907 5.267 5.723 Å, 90.00 90.00 90.00°
Space group Pmmm (No. 47)
Inequivalent atoms, fractional coordinates:
Ca 0.000 0.000 0.247 (multiplicity 2)
Ta 0.500 0.500 0.500 (multiplicity 1)
Mo 0.500 0.500 0.000 (multiplicity 1)

Calculated values
The calculation puts the total moment at 0.00 μB per cell. The value obtained for the density of states at the Fermi level is 1.189 states/eV per atom. Its energy of formation is 0.824 eV/atom. The value obtained for the polymorph energy (0 for the lowest one) is 507 meV per atom.



Record 5
Here is a geometry-optimized CaTaMo structure from Alexandria via LeMat-Bulk. Energies are from PBE.

Cell: 6.509 6.509 6.509 Å, 90.00 90.00 90.00°
Space group F-43m (No. 216)
Inequivalent atoms, fractional coordinates:
Ca 0.000 0.000 0.000 (multiplicity 4)
Ta 0.000 0.000 0.500 (multiplicity 4)
Mo 0.250 0.250 0.750 (multiplicity 4)

Calculated values
The calculation puts the total moment at 0.00 μB per cell. The value obtained for the density of states at the Fermi level is 1.170 states/eV per atom. Its energy of formation is 1.135 eV/atom. The value obtained for the polymorph energy (0 for the lowest one) is 794 meV per atom.



Record 6
Here is a geometry-optimized CaTcMo2 structure from Alexandria via LeMat-Bulk. Energies are from PBE.

Cell: 2.8787 2.8787 29.5664 Å, 90.00 90.00 120.00°
Space group R-3m (No. 166, hexagonal axes)
Inequivalent atoms, fractional coordinates:
Ca 0.0000 0.0000 0.0000 (multiplicity 3)
Tc 0.0000 0.0000 0.5000 (multiplicity 3)
Mo 0.0000 0.0000 0.2405 (multiplicity 6)

Calculated values
The calculation puts the total moment at 0.00 μB per cell. The value obtained for the density of states at the Fermi level is 1.059 states/eV per atom. Its energy of formation is 0.640 eV/atom. The value obtained for the polymorph energy (0 for the lowest one) is 202 meV per atom.



Record 7
Here is a geometry-optimized CaTcMo structure from Alexandria via LeMat-Bulk. Energies are from PBE.

Cell: 3.207 3.207 11.425 Å, 90.00 90.00 90.00°
Space group I4mm (No. 107)
Inequivalent atoms, fractional coordinates:
Ca 0.000 0.000 0.000 (multiplicity 2)
Tc 0.000 0.000 0.309 (multiplicity 2)
Mo 0.000 0.000 0.701 (multiplicity 2)

Calculated values
The calculation puts the total moment at 0.00 μB per cell. The value obtained for the density of states at the Fermi level is 0.888 states/eV per atom. Its energy of formation is 0.334 eV/atom. The value obtained for the polymorph energy (0 for the lowest one) is 0 meV per atom.



Record 8
Here is a geometry-optimized Ca2TcMo structure from Alexandria via LeMat-Bulk. Energies are from PBE.

Cell: 7.092 7.092 7.092 Å, 90.00 90.00 90.00°
Space group Fm-3m (No. 225)
Inequivalent atoms, fractional coordinates:
Ca 0.250 0.250 0.250 (multiplicity 8)
Tc 0.000 0.000 0.000 (multiplicity 4)
Mo 0.000 0.000 0.500 (multiplicity 4)

Calculated values
The calculation puts the total moment at 15.38 μB per cell. The value obtained for the density of states at the Fermi level is 2.300 states/eV per atom. Its energy of formation is 1.155 eV/atom. The value obtained for the polymorph energy (0 for the lowest one) is 890 meV per atom.



Record 9
Here is a geometry-optimized CaTcMo structure from Alexandria via LeMat-Bulk. Energies are from PBE.

Cell: 6.297 6.297 6.297 Å, 90.00 90.00 90.00°
Space group F-43m (No. 216)
Inequivalent atoms, fractional coordinates:
Ca 0.000 0.000 0.000 (multiplicity 4)
Tc 0.250 0.250 0.750 (multiplicity 4)
Mo 0.000 0.000 0.500 (multiplicity 4)

Calculated values
The calculation puts the total moment at 0.00 μB per cell. The value obtained for the density of states at the Fermi level is 0.917 states/eV per atom. Its energy of formation is 0.889 eV/atom. The value obtained for the polymorph energy (0 for the lowest one) is 555 meV per atom.



Record 10
Here is a geometry-optimized Ca2TcMo structure from Alexandria via LeMat-Bulk. Energies are from PBE.

Cell: 3.4330 3.4330 30.0881 Å, 90.00 90.00 120.00°
Space group R3m (No. 160, hexagonal axes)
Inequivalent atoms, fractional coordinates:
Ca 0.0000 0.0000 0.0000 (multiplicity 3)
Ca 0.0000 0.0000 0.2193 (multiplicity 3)
Tc 0.0000 0.0000 0.4699 (multiplicity 3)
Mo 0.0000 0.0000 0.7553 (multiplicity 3)

Calculated values
The calculation puts the total moment at 0.00 μB per cell. The value obtained for the density of states at the Fermi level is 0.988 states/eV per atom. Its energy of formation is 0.539 eV/atom. The value obtained for the polymorph energy (0 for the lowest one) is 273 meV per atom.



Record 11
Here is a geometry-optimized CaTcMo2 structure from Alexandria via LeMat-Bulk. Energies are from PBE.

Cell: 5.583 9.572 2.698 Å, 90.00 107.54 90.00°
Space group C2/m (No. 12)
Inequivalent atoms, fractional coordinates:
Ca 0.000 0.000 0.000 (multiplicity 2)
Tc 0.000 0.500 0.000 (multiplicity 2)
Mo 0.250 0.250 0.500 (multiplicity 4)

Calculated values
The calculation puts the total moment at 0.00 μB per cell. The value obtained for the density of states at the Fermi level is 0.990 states/eV per atom. Its energy of formation is 0.602 eV/atom. The value obtained for the polymorph energy (0 for the lowest one) is 163 meV per atom.



Record 12
Here is a geometry-optimized CaTcMo structure from Alexandria via LeMat-Bulk. Energies are from PBE.

Cell: 3.297 4.856 14.313 Å, 90.00 90.00 90.00°
Space group Fmm2 (No. 42)
Inequivalent atoms, fractional coordinates:
Ca 0.000 0.000 0.000 (multiplicity 4)
Tc 0.000 0.000 0.322 (multiplicity 4)
Mo 0.000 0.000 0.691 (multiplicity 4)

Calculated values
The calculation puts the total moment at 0.00 μB per cell. The value obtained for the density of states at the Fermi level is 1.211 states/eV per atom. Its energy of formation is 0.590 eV/atom. The value obtained for the polymorph energy (0 for the lowest one) is 257 meV per atom.